Material: V2CoP2
Method: DFT, GGA-PBE
State: optimized geometry

a = 6.528 Å, b = 6.528 Å, c = 3.049 Å
α = 90.00°, β = 90.00°, γ = 90.00°
Space group P4/mbm (No. 127)
Symmetry-distinct sites (fractional):
V: 0.143 0.357 0.000
Co: 0.000 0.000 0.000
P: 0.153 0.653 0.500

Values from the calculation:
Calculated volume in Å³ per atom: 13.00
Crystal system: tetragonal
D(E_F) in states/eV per atom: 0.851
Excess energy over the best structure of this formula in the dataset in eV per atom: 0.3475
Formation energy in eV/atom: -0.234
Energy in eV/atom: -7.47

Material: K2Re2Sn
Method: DFT, GGA-PBE
State: optimized geometry

a = 10.221 Å, b = 10.221 Å, c = 2.789 Å
α = 90.00°, β = 90.00°, γ = 90.00°
Space group P4/mbm (No. 127)
Symmetry-distinct sites (fractional):
K: 0.206 0.294 0.000
Re: 0.076 0.576 0.500
Sn: 0.000 0.000 0.500

Values from the calculation:
Calculated volume in Å³ per atom: 29.13
Crystal system: tetragonal
D(E_F) in states/eV per atom: 1.063
Excess energy over the best structure of this formula in the dataset in eV per atom: 0.0000
Formation energy in eV/atom: 1.221
Energy in eV/atom: -5.00

Material: LaY2Tl
Method: DFT, GGA-PBE
State: optimized geometry

a = 4.821 Å, b = 4.929 Å, c = 11.316 Å
α = 90.00°, β = 102.29°, γ = 90.00°
Space group P2_1/m (No. 11)
Symmetry-distinct sites (fractional):
La: 0.192 0.250 0.386
Y: 0.056 0.750 0.113
Y: 0.437 0.750 0.872
Tl: 0.341 0.250 0.680

Values from the calculation:
Calculated volume in Å³ per atom: 32.84
Crystal system: monoclinic
D(E_F) in states/eV per atom: 1.304
Excess energy over the best structure of this formula in the dataset in eV per atom: 0.0052
Formation energy in eV/atom: -0.191
Energy in eV/atom: -5.25

Material: Cd3In6Bi
Method: DFT, GGA-PBE
State: optimized geometry

a = 12.449 Å, b = 3.375 Å, c = 12.953 Å
α = 90.00°, β = 99.64°, γ = 90.00°
Space group P2_1/m (No. 11)
Symmetry-distinct sites (fractional):
Cd: 0.068 0.250 0.091
Cd: 0.360 0.750 0.498
Cd: 0.426 0.250 0.902
In: 0.125 0.250 0.483
In: 0.191 0.750 0.931
In: 0.223 0.750 0.278
In: 0.277 0.750 0.708
In: 0.349 0.250 0.117
In: 0.491 0.750 0.319
Bi: 0.040 0.250 0.719

Values from the calculation:
Calculated volume in Å³ per atom: 26.83
Crystal system: monoclinic
D(E_F) in states/eV per atom: 0.371
Formation energy in eV/atom: 0.040
Energy in eV/atom: -2.27